Arrangement one

A relaxed structure of Ac6Pr2Cd, computed with PBE.

Values from the calculation:
* space-group type: P-62m, No. 189
* calculated volume: 40.75 Å³ per atom
* crystal system: hexagonal

Cell: 3.9463 10.3558 10.3604 Å, 119.99 90.00 90.00°
Fractional positions:
Ac: 0.5000 0.6243 0.0000
Ac: 0.5000 0.3757 0.3757
Ac: 0.5000 0.0000 0.6243
Ac: 0.0000 0.2772 0.0000
Ac: 0.0000 0.0000 0.2773
Ac: 0.0000 0.7227 0.7227
Pr: 0.0000 0.6666 0.3333
Pr: 0.0000 0.3334 0.6667
Cd: 0.5000 0.0000 0.0000

Arrangement two

A relaxed structure of Ac6Pr2Cd, computed with PBE.

Values from the calculation:
* space-group type: P4_2/mnm, No. 136
* calculated volume: 40.55 Å³ per atom
* crystal system: tetragonal

Cell: 5.7789 11.2385 11.2384 Å, 90.00 90.00 90.00°
Fractional positions:
Ac: 0.5001 0.8155 0.0343
Ac: 0.0001 0.6845 0.5343
Ac: 0.5001 0.8724 0.3724
Ac: 0.9999 0.3155 0.4657
Ac: 0.0000 0.0343 0.1846
Ac: 0.5000 0.5343 0.3154
Ac: 0.0000 0.9657 0.8154
Ac: 0.5000 0.4657 0.6846
Ac: 0.0001 0.6276 0.8724
Ac: 0.9999 0.3724 0.1276
Ac: 0.4999 0.1845 0.9657
Ac: 0.4999 0.1276 0.6276
Pr: 0.5000 0.7888 0.7112
Pr: 0.5000 0.2112 0.2888
Pr: 0.0000 0.2888 0.7888
Pr: 0.0000 0.7112 0.2112
Cd: 0.5000 0.5000 0.0000
Cd: 0.0000 0.0000 0.5000

In terms of stability, arrangement one leads; the second structure lies 0.034 eV/atom higher.

Arrangement one

A relaxed structure of Ac8Pr2Cd, computed with PBE.

Values from the calculation:
* space-group type: C2/m, No. 12
* calculated volume: 41.74 Å³ per atom
* crystal system: monoclinic

Cell: 6.1943 7.0389 10.9986 Å, 93.57 106.36 90.00°
Fractional positions:
Ac: 0.8419 0.1958 0.6838
Ac: 0.4184 0.3954 0.8369
Ac: 0.3405 0.8761 0.6809
Ac: 0.1581 0.8042 0.3162
Ac: 0.0412 0.2563 0.0824
Ac: 0.9588 0.7437 0.9176
Ac: 0.5816 0.6046 0.1631
Ac: 0.6595 0.1239 0.3191
Pr: 0.7617 0.6598 0.5233
Pr: 0.2383 0.3402 0.4767
Cd: 0.5000 0.0000 0.0000

Arrangement two

A relaxed structure of Ac8Pr2Cd, computed with PBE.

Values from the calculation:
* space-group type: C2/m, No. 12
* calculated volume: 41.97 Å³ per atom
* crystal system: monoclinic

Cell: 6.0920 8.2739 10.2191 Å, 109.18 107.34 90.00°
Fractional positions:
Ac: 0.8154 0.7646 0.6309
Ac: 0.0168 0.7718 0.0336
Ac: 0.1846 0.2354 0.3691
Ac: 0.6627 0.9353 0.3253
Ac: 0.3373 0.0647 0.6747
Ac: 0.3925 0.5657 0.7850
Ac: 0.9832 0.2282 0.9664
Ac: 0.6075 0.4343 0.2150
Pr: 0.1881 0.6680 0.3763
Pr: 0.8119 0.3320 0.6237
Cd: 0.5000 0.0000 0.0000

In terms of stability, arrangement one leads; the second structure lies 0.039 eV/atom higher.